# V2BAs

V2BAs after structural relaxation (PBE, the Alexandria database).

Its energy above the most stable polymorph in this dataset is 0 meV per atom. The formation energy comes out at -0.349 eV per atom.

Lattice parameters (Å, degrees): 3.1548 3.1548 17.5614 90.00 90.00 120.00
Space group R-3m (No. 166, hexagonal axes)
One atom of each set of equivalent atoms:
V 0.0000 0.0000 0.2299 (multiplicity 6)
B 0.0000 0.0000 0.5000 (multiplicity 3)
As 0.0000 0.0000 0.0000 (multiplicity 3)